# PBE-GGA MnInSe2, relaxed
# DOS at the Fermi energy = 0.374 states/eV/atom
# ΔE_f (raw) = -128 kJ/mol of formula units
data_MnInSe2
_space_group_name_H-M_alt 'P 4/m m m'
_space_group_IT_number 123
_space_group_name_Hall '-P 4 2'
_cell_length_a 4.012
_cell_length_b 4.012
_cell_length_c 5.719
_cell_angle_alpha 90.00
_cell_angle_beta 90.00
_cell_angle_gamma 90.00
loop_
_atom_site_label
_atom_site_fract_x
_atom_site_fract_y
_atom_site_fract_z
_atom_site_occupancy
Mn1 0.000 0.000 0.000 1
In1 0.500 0.500 0.500 1
Se1 0.000 0.000 0.500 1
Se2 0.500 0.500 0.000 1

# PBE-GGA MnInSe2, relaxed
# DOS at the Fermi energy = 0.347 states/eV/atom
# ΔE_f (raw) = -91 kJ/mol of formula units
data_MnInSe2
_space_group_name_H-M_alt 'I m m m'
_space_group_IT_number 71
_space_group_name_Hall '-I 2 2'
_cell_length_a 3.512
_cell_length_b 5.137
_cell_length_c 11.437
_cell_angle_alpha 90.00
_cell_angle_beta 90.00
_cell_angle_gamma 90.00
loop_
_atom_site_label
_atom_site_fract_x
_atom_site_fract_y
_atom_site_fract_z
_atom_site_occupancy
Mn1 0.000 0.000 0.000 1
In1 0.000 0.000 0.500 1
Se1 0.000 0.500 0.351 1

# PBE-GGA MnInSe4, relaxed
# offset from the most stable computed form = 0.00 kJ per mole of atoms
# DOS at the Fermi energy = 0.534 states/eV/atom
# ΔE_f (raw) = -194 kJ/mol of formula units
data_MnInSe4
_space_group_name_H-M_alt 'P 1 2/m 1'
_space_group_IT_number 10
_space_group_name_Hall '-P 2y'
_cell_length_a 5.596
_cell_length_b 3.744
_cell_length_c 6.883
_cell_angle_alpha 90.00
_cell_angle_beta 98.22
_cell_angle_gamma 90.00
loop_
_atom_site_label
_atom_site_fract_x
_atom_site_fract_y
_atom_site_fract_z
_atom_site_occupancy
Mn1 0.000 0.000 0.000 1
In1 0.000 0.500 0.500 1
Se1 0.250 0.500 0.894 1
Se2 0.254 0.000 0.328 1

# PBE-GGA MnIn4SnSe8, relaxed
# DOS at the Fermi energy = 0.152 states/eV/atom
# ΔE_f (raw) = -606 kJ/mol of formula units
data_MnIn4SnSe8
_space_group_name_H-M_alt 'R 3 m'
_space_group_IT_number 160
_space_group_name_Hall 'R 3 -2"'
_cell_length_a 8.3332
_cell_length_b 8.3332
_cell_length_c 19.3787
_cell_angle_alpha 90.00
_cell_angle_beta 90.00
_cell_angle_gamma 120.00
loop_
_atom_site_label
_atom_site_fract_x
_atom_site_fract_y
_atom_site_fract_z
_atom_site_occupancy
Mn1 0.0000 0.0000 0.0000 1
In1 0.0000 0.0000 0.6200 1
In2 0.1694 0.3387 0.8348 1
Sn1 0.0000 0.0000 0.3936 1
Se1 0.0000 0.0000 0.2500 1
Se2 0.0000 0.0000 0.7589 1
Se3 0.0502 0.5251 0.7488 1
Se4 0.1826 0.3651 0.5826 1

# PBE-GGA Sr2MnInSe5, relaxed
# DOS at the Fermi energy = 0.212 states/eV/atom
# ΔE_f (raw) = -981 kJ/mol of formula units
data_Sr2MnInSe5
_space_group_name_H-M_alt 'C m c 21'
_space_group_IT_number 36
_space_group_name_Hall 'C 2c -2'
_cell_length_a 4.069
_cell_length_b 18.806
_cell_length_c 13.029
_cell_angle_alpha 90.00
_cell_angle_beta 90.00
_cell_angle_gamma 90.00
loop_
_atom_site_label
_atom_site_fract_x
_atom_site_fract_y
_atom_site_fract_z
_atom_site_occupancy
Sr1 0.000 0.101 0.000 1
Sr2 0.000 0.127 0.650 1
Mn1 0.000 0.234 0.385 1
In1 0.000 0.430 0.795 1
Se1 0.000 0.057 0.417 1
Se2 0.000 0.268 0.015 1
Se3 0.000 0.290 0.762 1
Se4 0.000 0.366 0.333 1
Se5 0.000 0.493 0.621 1

# PBE-GGA Mn2InTeSe, relaxed
# DOS at the Fermi energy = 0.788 states/eV/atom
# ΔE_f (raw) = 161 kJ/mol of formula units
data_Mn2InTeSe
_space_group_name_H-M_alt 'P 4/m m m'
_space_group_IT_number 123
_space_group_name_Hall '-P 4 2'
_cell_length_a 4.823
_cell_length_b 4.823
_cell_length_c 5.801
_cell_angle_alpha 90.00
_cell_angle_beta 90.00
_cell_angle_gamma 90.00
loop_
_atom_site_label
_atom_site_fract_x
_atom_site_fract_y
_atom_site_fract_z
_atom_site_occupancy
Mn1 0.000 0.500 0.000 1
In1 0.000 0.000 0.500 1
Te1 0.500 0.500 0.500 1
Se1 0.000 0.000 0.000 1

# PBE-GGA TiMnInSe3, relaxed
# DOS at the Fermi energy = 0.481 states/eV/atom
# ΔE_f (raw) = -402 kJ/mol of formula units
data_TiMnInSe3
_space_group_name_H-M_alt 'C m c m'
_space_group_IT_number 63
_space_group_name_Hall '-C 2c 2'
_cell_length_a 3.723
_cell_length_b 14.067
_cell_length_c 10.094
_cell_angle_alpha 90.00
_cell_angle_beta 90.00
_cell_angle_gamma 90.00
loop_
_atom_site_label
_atom_site_fract_x
_atom_site_fract_y
_atom_site_fract_z
_atom_site_occupancy
Ti1 0.000 0.000 0.000 1
Mn1 0.000 0.441 0.250 1
In1 0.000 0.247 0.750 1
Se1 0.000 0.058 0.250 1
Se2 0.000 0.370 0.029 1

# PBE-GGA Mn2TlInSe4, relaxed
# DOS at the Fermi energy = 0.148 states/eV/atom
# ΔE_f (raw) = -251 kJ/mol of formula units
data_Mn2TlInSe4
_space_group_name_H-M_alt 'C m c m'
_space_group_IT_number 63
_space_group_name_Hall '-C 2c 2'
_cell_length_a 3.936
_cell_length_b 14.204
_cell_length_c 14.958
_cell_angle_alpha 90.00
_cell_angle_beta 90.00
_cell_angle_gamma 90.00
loop_
_atom_site_label
_atom_site_fract_x
_atom_site_fract_y
_atom_site_fract_z
_atom_site_occupancy
Mn1 0.000 0.120 0.039 1
Tl1 0.000 0.363 0.250 1
In1 0.000 0.348 0.750 1
Se1 0.000 0.034 0.250 1
Se2 0.000 0.261 0.596 1
Se3 0.000 0.500 0.000 1